# 1
CsLaSn2: relaxed, PBE.

a = 5.9627 Å, b = 5.9627 Å, c = 11.8407 Å
α = 75.42°, β = 75.42°, γ = 90.00°
Last column: nearest neighbours and their distance in Å.
Element x y z (fractional)
Sn 0.7715 0.1250 0.2500  2 La 3.20, 2 Sn 3.23
Sn 0.8750 0.0215 0.7500  2 La 3.20, 2 Sn 3.23
Sn 0.9785 0.6250 0.2500  2 La 3.20, 2 Sn 3.23
Sn 0.3750 0.2285 0.7500  2 La 3.20, 2 Sn 3.23
Cs 0.2500 0.7500 0.5000  4 Sn 3.93, 4 La 4.22
Cs 0.5000 0.5000 0.0000  4 Sn 3.93, 4 La 4.22
La 0.7500 0.2500 0.5000  4 Sn 3.20
La 0.0000 0.0000 0.0000  4 Sn 3.20

Energy of formation, meV/atom: 36
Space-group type: I-42d

# 2
CsLaTaSn2: relaxed, PBE.

a = 5.9104 Å, b = 5.6985 Å, c = 5.9104 Å
α = 90.00°, β = 90.00°, γ = 90.00°
Last column: nearest neighbours and their distance in Å.
Element x y z (fractional)
Sn 0.5000 0.0000 0.0000  2 Cs 2.96
Sn 0.0000 0.0000 0.5000  2 Cs 2.96
La 0.0000 0.5000 0.0000  2 Cs 2.85
Ta 0.5000 0.5000 0.5000  8 Sn 4.11, 4 La 4.18
Cs 0.0000 0.0000 0.0000  2 La 2.85, 4 Sn 2.96

Energy of formation, meV/atom: 2110
Space-group type: P4/mmm

# 3
Cs3La2SnTe6: relaxed, PBE.

a = 8.1912 Å, b = 8.1912 Å, c = 9.3166 Å
α = 98.44°, β = 98.44°, γ = 119.99°
Last column: nearest neighbours and their distance in Å.
Element x y z (fractional)
Te 0.6118 0.9361 0.8080  1 Sn 3.16, 2 La 3.25-3.26
Te 0.9361 0.6118 0.8080  1 Sn 3.16, 2 La 3.25-3.26
Te 0.7404 0.7404 0.1934  1 Sn 3.17, 2 La 3.26
Te 0.2596 0.2596 0.8066  1 Sn 3.17, 2 La 3.26
Te 0.3882 0.0639 0.1920  1 Sn 3.16, 2 La 3.25-3.26
Te 0.0639 0.3882 0.1920  1 Sn 3.16, 2 La 3.25-3.26
La 0.6664 0.3336 0.0000  6 Te 3.25-3.26
La 0.3336 0.6664 0.0000  6 Te 3.25-3.26
Sn 0.0000 0.0000 0.0000  6 Te 3.16-3.17
Cs 0.5000 0.5000 0.5000  6 Te 3.84-3.92
Cs 0.1689 0.8311 0.5000  6 Te 3.85-3.90
Cs 0.8311 0.1689 0.5000  6 Te 3.85-3.90

Formation energy without anion corrections, meV/atom: -1155
Space-group type: C2/m

# 4
Cs2LaSnW: relaxed, PBE.

a = 7.0590 Å, b = 4.9182 Å, c = 7.0590 Å
α = 90.00°, β = 90.00°, γ = 90.00°
Last column: nearest neighbours and their distance in Å.
Element x y z (fractional)
W 0.0000 0.5000 0.0000  2 La 2.46
Cs 0.0000 0.0000 0.5000  2 La 3.53
Cs 0.5000 0.0000 0.0000  2 La 3.53
La 0.0000 0.0000 0.0000  2 W 2.46
Sn 0.5000 0.5000 0.5000  8 Cs 4.30

Energy of formation, meV/atom: 1421
Space-group type: P4/mmm

# 5
CsLaY2Sn: relaxed, PBE.

a = 5.6079 Å, b = 6.1178 Å, c = 5.6079 Å
α = 90.00°, β = 90.00°, γ = 90.00°
Last column: nearest neighbours and their distance in Å.
Element x y z (fractional)
La 0.5000 0.5000 0.5000  4 Sn 3.97, 8 Y 4.15
Y 0.0000 0.0000 0.5000  2 Cs 2.80
Y 0.5000 0.0000 0.0000  2 Cs 2.80
Cs 0.0000 0.0000 0.0000  4 Y 2.80, 2 Sn 3.06
Sn 0.0000 0.5000 0.0000  2 Cs 3.06

Energy of formation, meV/atom: 1027
Space-group type: P4/mmm

# 6
CsSrLa2: relaxed, PBE.

a = 10.0036 Å, b = 10.0036 Å, c = 7.9317 Å
α = 50.90°, β = 50.90°, γ = 90.00°
Last column: nearest neighbours and their distance in Å.
Element x y z (fractional)
Sr 0.2500 0.7500 0.5000  2 Cs 3.59, 4 La 3.82
Sr 0.5000 0.5000 0.0000  2 Cs 3.59, 4 La 3.82
La 0.6489 0.1250 0.2500  2 Cs 3.49, 2 La 3.62, 2 Sr 3.82
La 0.3750 0.3511 0.7500  2 Cs 3.49, 2 La 3.62, 2 Sr 3.82
La 0.1011 0.6250 0.2500  2 Cs 3.49, 2 La 3.62, 2 Sr 3.82
La 0.8750 0.8989 0.7500  2 Cs 3.49, 2 La 3.62, 2 Sr 3.82
Cs 0.0000 0.0000 0.0000  4 La 3.49, 2 Sr 3.59
Cs 0.7500 0.2500 0.5000  4 La 3.49, 2 Sr 3.59

Energy of formation, meV/atom: 638
Space-group type: I-42d

# 7
CsSrLa2: relaxed, PBE.

a = 6.4394 Å, b = 6.4394 Å, c = 6.4394 Å
α = 60.00°, β = 60.00°, γ = 60.00°
Last column: nearest neighbours and their distance in Å.
Element x y z (fractional)
Sr 0.0000 0.0000 0.0000  8 La 3.94
La 0.7500 0.7500 0.7500  4 Cs 3.94, 4 Sr 3.94
La 0.2500 0.2500 0.2500  4 Cs 3.94, 4 Sr 3.94
Cs 0.5000 0.5000 0.5000  8 La 3.94

Energy of formation, meV/atom: 566
Space-group type: Fm-3m

# 8
Cs2LaTa: relaxed, PBE.

a = 5.9660 Å, b = 5.9660 Å, c = 5.9660 Å
α = 60.00°, β = 60.00°, γ = 60.00°
Last column: nearest neighbours and their distance in Å.
Element x y z (fractional)
La 0.0000 0.0000 0.0000  8 Cs 3.65
Cs 0.7500 0.7500 0.7500  4 Ta 3.65, 4 La 3.65
Cs 0.2500 0.2500 0.2500  4 Ta 3.65, 4 La 3.65
Ta 0.5000 0.5000 0.5000  8 Cs 3.65

Energy of formation, meV/atom: 1772
Space-group type: Fm-3m

# 9
CsLa2TaV: relaxed, PBE.

a = 5.9531 Å, b = 4.9299 Å, c = 5.9531 Å
α = 90.00°, β = 90.00°, γ = 90.00°
Last column: nearest neighbours and their distance in Å.
Element x y z (fractional)
Cs 0.5000 0.5000 0.5000  8 La 3.86, 4 V 4.21
La 0.5000 0.0000 0.0000  2 Ta 2.98
La 0.0000 0.0000 0.5000  2 Ta 2.98
Ta 0.0000 0.0000 0.0000  2 V 2.46
V 0.0000 0.5000 0.0000  2 Ta 2.46

Energy of formation, meV/atom: 929
Space-group type: P4/mmm

# 10
CsLaTaW2: relaxed, PBE.

a = 4.9925 Å, b = 5.6425 Å, c = 4.9925 Å
α = 90.00°, β = 90.00°, γ = 90.00°
Last column: nearest neighbours and their distance in Å.
Element x y z (fractional)
Ta 0.5000 0.5000 0.5000  4 Cs 3.53, 8 W 3.77
W 0.0000 0.0000 0.5000  2 La 2.50
W 0.5000 0.0000 0.0000  2 La 2.50
La 0.0000 0.0000 0.0000  4 W 2.50
Cs 0.0000 0.5000 0.0000  2 La 2.82

Energy of formation, meV/atom: 3134
Space-group type: P4/mmm

# 11
Cs3LaTb2Te6: relaxed, PBE.

a = 8.0313 Å, b = 8.0313 Å, c = 9.3162 Å
α = 98.27°, β = 98.27°, γ = 120.00°
Last column: nearest neighbours and their distance in Å.
Element x y z (fractional)
Tb 0.3331 0.6669 0.0000  6 Te 3.14-3.15
Tb 0.6669 0.3331 0.0000  6 Te 3.14-3.15
Te 0.4076 0.0642 0.1924  2 Tb 3.14-3.15, 1 La 3.25
Te 0.2796 0.2796 0.8085  2 Tb 3.14, 1 La 3.24
Te 0.9358 0.5924 0.8076  2 Tb 3.14-3.15, 1 La 3.25
Te 0.0642 0.4076 0.1924  2 Tb 3.14-3.15, 1 La 3.25
Te 0.7204 0.7204 0.1915  2 Tb 3.14, 1 La 3.24
Te 0.5924 0.9358 0.8076  2 Tb 3.14-3.15, 1 La 3.25
Cs 0.8356 0.1644 0.5000  6 Te 3.80-3.86
Cs 0.1644 0.8356 0.5000  6 Te 3.80-3.86
Cs 0.5000 0.5000 0.5000  6 Te 3.78-3.86
La 0.0000 0.0000 0.0000  6 Te 3.24-3.25

Formation energy without anion corrections, meV/atom: -1427
Space-group type: C2/m

# 12
Cs3La3TbTe8: relaxed, PBE.

a = 9.3087 Å, b = 9.3172 Å, c = 10.6042 Å
α = 116.13°, β = 90.01°, γ = 119.96°
Last column: nearest neighbours and their distance in Å.
Element x y z (fractional)
Te 0.2250 0.4500 0.6904  1 Tb 3.13, 2 La 3.24
Te 0.7750 0.0343 0.3096  1 Tb 3.13, 2 La 3.24
Te 0.7750 0.5500 0.3096  1 Tb 3.13, 2 La 3.24
Te 0.7407 0.9657 0.6904  1 Tb 3.13, 2 La 3.24
Te 0.2250 0.9657 0.6904  1 Tb 3.13, 2 La 3.24
Te 0.2674 0.5349 0.3024  3 La 3.24
Te 0.7326 0.4652 0.6976  3 La 3.24
Te 0.2593 0.0343 0.3096  1 Tb 3.13, 2 La 3.24
Cs 0.5000 0.5000 0.0000  6 Te 3.86-3.87
Cs 0.0000 0.0000 0.0000  6 Te 3.85-3.87
Cs 0.0000 0.5000 0.0000  6 Te 3.85-3.87
La 0.5000 0.5000 0.5000  6 Te 3.24
La 0.5000 0.0000 0.5000  6 Te 3.24
La 0.0000 0.5000 0.5000  6 Te 3.24
Tb 0.0000 0.0000 0.5000  6 Te 3.13

Formation energy without anion corrections, meV/atom: -1390
Space-group type: C2/m

# 13
Cs4LaTb3Te8: relaxed, PBE.

a = 9.2416 Å, b = 10.4003 Å, c = 9.2424 Å
α = 116.39°, β = 120.00°, γ = 90.00°
Last column: nearest neighbours and their distance in Å.
Element x y z (fractional)
Te 0.2785 0.3077 0.0430  2 Tb 3.14, 1 La 3.23
Te 0.7646 0.3077 0.0430  2 Tb 3.14, 1 La 3.23
Te 0.2354 0.6923 0.9570  2 Tb 3.14, 1 La 3.23
Te 0.2703 0.3108 0.5405  3 Tb 3.16
Te 0.7297 0.6892 0.4595  3 Tb 3.16
Te 0.7215 0.6923 0.9570  2 Tb 3.14, 1 La 3.23
Te 0.7646 0.3077 0.5292  2 Tb 3.14, 1 La 3.24
Te 0.2354 0.6923 0.4708  2 Tb 3.14, 1 La 3.24
Cs 0.5000 0.0000 0.0000  6 Te 3.78
Cs 0.0000 0.0000 0.5000  6 Te 3.85-3.86
Cs 0.5000 0.0000 0.5000  6 Te 3.85-3.86
Cs 0.0000 0.0000 0.0000  6 Te 3.85-3.86
Tb 0.0000 0.5000 0.5000  6 Te 3.14-3.16
Tb 0.5000 0.5000 0.5000  6 Te 3.14-3.16
Tb 0.5000 0.5000 0.0000  6 Te 3.14-3.16
La 0.0000 0.5000 0.0000  6 Te 3.23-3.24

Formation energy without anion corrections, meV/atom: -1417
Space-group type: R-3m

# 14
CsLa3Tc: relaxed, PBE.

a = 5.7515 Å, b = 5.7515 Å, c = 5.7515 Å
α = 90.00°, β = 90.00°, γ = 90.00°
Last column: nearest neighbours and their distance in Å.
Element x y z (fractional)
La 0.5000 0.0000 0.0000  2 Tc 2.88
La 0.0000 0.5000 0.0000  2 Tc 2.88
La 0.0000 0.0000 0.5000  2 Tc 2.88
Cs 0.5000 0.5000 0.5000  12 La 4.07
Tc 0.0000 0.0000 0.0000  6 La 2.88

Energy of formation, meV/atom: 242
Space-group type: Pm-3m

# 15
Cs3LaTc: relaxed, PBE.

a = 6.4290 Å, b = 6.4290 Å, c = 6.4290 Å
α = 90.00°, β = 90.00°, γ = 90.00°
Last column: nearest neighbours and their distance in Å.
Element x y z (fractional)
La 0.0000 0.0000 0.0000  6 Cs 3.21
Tc 0.5000 0.5000 0.5000  12 Cs 4.55
Cs 0.5000 0.0000 0.0000  2 La 3.21
Cs 0.0000 0.5000 0.0000  2 La 3.21
Cs 0.0000 0.0000 0.5000  2 La 3.21

Energy of formation, meV/atom: 1898
Space-group type: Pm-3m

# 16
Cs2La2Tc: relaxed, PBE.

a = 7.5166 Å, b = 7.5166 Å, c = 6.1473 Å
α = 90.00°, β = 90.00°, γ = 90.00°
Last column: nearest neighbours and their distance in Å.
Element x y z (fractional)
La 0.1879 0.6879 0.5000  2 Cs 3.45
La 0.3121 0.1879 0.5000  2 Cs 3.45
La 0.6879 0.8121 0.5000  2 Cs 3.45
La 0.8121 0.3121 0.5000  2 Cs 3.45
Cs 0.1640 0.3360 0.0000  2 Tc 2.81
Cs 0.6640 0.1640 0.0000  2 Tc 2.81
Cs 0.8360 0.6640 0.0000  2 Tc 2.81
Cs 0.3360 0.8360 0.0000  2 Tc 2.81
Tc 0.5000 0.5000 0.0000  4 Cs 2.81
Tc 0.0000 0.0000 0.0000  4 Cs 2.81

Energy of formation, meV/atom: 1394
Space-group type: P4/mbm

# 17
CsLa3Tc: relaxed, PBE.

a = 5.8111 Å, b = 5.8111 Å, c = 5.8111 Å
α = 90.00°, β = 90.00°, γ = 90.00°
Last column: nearest neighbours and their distance in Å.
Element x y z (fractional)
La 0.0000 0.5000 0.0000  2 Cs 2.91
La 0.5000 0.0000 0.0000  2 Cs 2.91
La 0.0000 0.0000 0.5000  2 Cs 2.91
Tc 0.5000 0.5000 0.5000  12 La 4.11
Cs 0.0000 0.0000 0.0000  6 La 2.91

Energy of formation, meV/atom: 1685
Space-group type: Pm-3m

# 18
Cs5LaTe4: relaxed, PBE.

a = 5.2829 Å, b = 9.7556 Å, c = 11.8303 Å
α = 114.54°, β = 102.90°, γ = 90.00°
Last column: nearest neighbours and their distance in Å.
Element x y z (fractional)
Cs 0.5000 0.5000 0.0000  4 Te 3.83
Cs 0.8287 0.0894 0.6575  3 Te 3.62-3.65
Cs 0.8270 0.5743 0.6540  3 Te 3.61-3.64
Cs 0.1713 0.9106 0.3425  3 Te 3.62-3.65
Cs 0.1730 0.4257 0.3460  3 Te 3.61-3.64
Te 0.9990 0.7832 0.9981  2 La 3.38, 2 Cs 3.61-3.62
Te 0.6619 0.1586 0.3239  1 La 3.38, 4 Cs 3.64-3.65
Te 0.3381 0.8414 0.6761  1 La 3.38, 4 Cs 3.64-3.65
Te 0.0010 0.2168 0.0019  2 La 3.38, 2 Cs 3.61-3.62
La 0.5000 0.0000 0.0000  6 Te 3.38

Formation energy without anion corrections, meV/atom: -1101
Space-group type: C2/m

# 19
CsLa2Te2: relaxed, PBE.

a = 5.0749 Å, b = 5.0749 Å, c = 9.2896 Å
α = 74.15°, β = 74.15°, γ = 90.00°
Last column: nearest neighbours and their distance in Å.
Element x y z (fractional)
Te 0.6281 0.6281 0.7439  4 La 3.29
Te 0.3719 0.3719 0.2561  4 La 3.29
Cs 0.0000 0.0000 0.0000  8 Te 4.21
La 0.2500 0.7500 0.5000  4 Te 3.29, 4 La 3.59
La 0.7500 0.2500 0.5000  4 Te 3.29, 4 La 3.59

Formation energy without anion corrections, meV/atom: -1026
Space-group type: I4/mmm

# 20
CsLaTe3: relaxed, PBE.

a = 6.2554 Å, b = 6.2554 Å, c = 6.2554 Å
α = 90.00°, β = 90.00°, γ = 90.00°
Last column: nearest neighbours and their distance in Å.
Element x y z (fractional)
Te 0.5000 0.0000 0.0000  2 La 3.13
Te 0.0000 0.5000 0.0000  2 La 3.13
Te 0.0000 0.0000 0.5000  2 La 3.13
Cs 0.5000 0.5000 0.5000  12 Te 4.42
La 0.0000 0.0000 0.0000  6 Te 3.13

Formation energy without anion corrections, meV/atom: -885
Space-group type: Pm-3m

# 21
Cs3LaTh2Te6: relaxed, PBE.

a = 7.9819 Å, b = 7.9819 Å, c = 9.4591 Å
α = 98.09°, β = 98.09°, γ = 120.00°
Last column: nearest neighbours and their distance in Å.
Element x y z (fractional)
Cs 0.5000 0.5000 0.5000  6 Te 3.77-3.83
Cs 0.1646 0.8354 0.5000  6 Te 3.78-3.83
Cs 0.8354 0.1646 0.5000  6 Te 3.78-3.83
Th 0.6669 0.3331 0.0000  6 Te 3.19
Th 0.3331 0.6669 0.0000  6 Te 3.19
Te 0.5922 0.9334 0.8004  2 Th 3.19, 1 La 3.27
Te 0.7250 0.7250 0.1988  2 Th 3.19, 1 La 3.27
Te 0.9334 0.5922 0.8004  2 Th 3.19, 1 La 3.27
Te 0.0666 0.4078 0.1996  2 Th 3.19, 1 La 3.27
Te 0.4078 0.0666 0.1996  2 Th 3.19, 1 La 3.27
Te 0.2750 0.2750 0.8012  2 Th 3.19, 1 La 3.27
La 0.0000 0.0000 0.0000  6 Te 3.27

Formation energy without anion corrections, meV/atom: -1273
Space-group type: C2/m

# 22
Cs3La3ThTe8: relaxed, PBE.

a = 9.3973 Å, b = 9.3998 Å, c = 10.5955 Å
α = 116.37°, β = 90.00°, γ = 119.99°
Last column: nearest neighbours and their distance in Å.
Element x y z (fractional)
La 0.5000 0.5000 0.5000  6 Te 3.24-3.25
La 0.5000 0.0000 0.5000  6 Te 3.24-3.25
La 0.0000 0.5000 0.5000  6 Te 3.24-3.25
Te 0.7738 0.0348 0.3087  1 Th 3.17, 2 La 3.25
Te 0.7319 0.4637 0.6954  3 La 3.24
Te 0.7738 0.5475 0.3087  1 Th 3.17, 2 La 3.25
Te 0.7390 0.9652 0.6913  1 Th 3.17, 2 La 3.25
Te 0.2610 0.0348 0.3087  1 Th 3.17, 2 La 3.25
Te 0.2262 0.4525 0.6913  1 Th 3.17, 2 La 3.25
Te 0.2262 0.9652 0.6913  1 Th 3.17, 2 La 3.25
Te 0.2681 0.5363 0.3046  3 La 3.24
Cs 0.5000 0.5000 0.0000  6 Te 3.88
Cs 0.0000 0.0000 0.0000  6 Te 3.88
Cs 0.0000 0.5000 0.0000  6 Te 3.88
Th 0.0000 0.0000 0.5000  6 Te 3.17

Formation energy without anion corrections, meV/atom: -1450
Space-group type: R-3m

# 23
Cs4La3TiTe8: relaxed, PBE.

a = 9.3018 Å, b = 10.3945 Å, c = 9.3027 Å
α = 116.60°, β = 120.00°, γ = 90.00°
Last column: nearest neighbours and their distance in Å.
Element x y z (fractional)
Cs 0.0000 0.0000 0.5000  6 Te 3.79-3.81
Cs 0.0000 0.0000 0.0000  6 Te 3.78-3.81
Cs 0.5000 0.0000 0.5000  6 Te 3.79-3.81
Cs 0.5000 0.0000 0.0000  6 Te 4.03
Te 0.7848 0.3139 0.5695  1 Ti 2.97, 2 La 3.25
Te 0.7558 0.6860 0.9709  1 Ti 2.97, 2 La 3.25
Te 0.7334 0.7001 0.4668  3 La 3.22
Te 0.7849 0.3140 0.0291  1 Ti 2.97, 2 La 3.25
Te 0.2152 0.6861 0.4305  1 Ti 2.97, 2 La 3.25
Te 0.2442 0.3140 0.0291  1 Ti 2.97, 2 La 3.25
Te 0.2666 0.2999 0.5332  3 La 3.22
Te 0.2151 0.6860 0.9709  1 Ti 2.97, 2 La 3.25
La 0.5000 0.5000 0.5000  6 Te 3.22-3.25
La 0.0000 0.5000 0.5000  6 Te 3.22-3.25
La 0.5000 0.5000 0.0000  6 Te 3.22-3.25
Ti 0.0000 0.5000 0.0000  6 Te 2.97

Formation energy without anion corrections, meV/atom: -1284
Space-group type: R-3m

# 24
Cs3La3TmTe8: relaxed, PBE.

a = 9.2778 Å, b = 9.2848 Å, c = 10.6058 Å
α = 116.02°, β = 90.00°, γ = 119.98°
Last column: nearest neighbours and their distance in Å.
Element x y z (fractional)
Te 0.7775 0.5549 0.3110  1 Tm 3.09, 2 La 3.24
Te 0.2225 0.9667 0.6890  1 Tm 3.09, 2 La 3.24
Te 0.7442 0.9667 0.6890  1 Tm 3.09, 2 La 3.24
Te 0.2225 0.4451 0.6890  1 Tm 3.09, 2 La 3.24
Te 0.7327 0.4654 0.6980  3 La 3.23
Te 0.7775 0.0333 0.3110  1 Tm 3.09, 2 La 3.24
Te 0.2558 0.0333 0.3110  1 Tm 3.09, 2 La 3.24
Te 0.2673 0.5346 0.3020  3 La 3.23
Cs 0.0000 0.5000 0.0000  6 Te 3.85-3.87
Cs 0.0000 0.0000 0.0000  6 Te 3.85-3.87
Cs 0.5000 0.5000 0.0000  6 Te 3.85-3.87
La 0.5000 0.5000 0.5000  6 Te 3.23-3.24
La 0.5000 0.0000 0.5000  6 Te 3.23-3.24
La 0.0000 0.5000 0.5000  6 Te 3.23-3.24
Tm 0.0000 0.0000 0.5000  6 Te 3.09

Formation energy without anion corrections, meV/atom: -1380
Space-group type: C2/m